(1)
Here is a relaxed Rb2Cu2Cl crystal from the Alexandria database. Energies are from GGA-PBE.

Unit cell a=3.6516 b=3.6516 c=20.0776 alpha=90.00 beta=90.00 gamma=90.00
Space group I4/mmm (No. 139)
Symmetry-distinct sites (fractional):
Rb1 0.0000 0.0000 0.1027 (multiplicity 4)
Cu1 0.0000 0.5000 0.2500 (multiplicity 4)
Cl1 0.0000 0.0000 0.5000 (multiplicity 2)

Summary:
- formation energy (no corrections) (eV/atom) = -0.455
- polymorph energy (0 for the lowest one) (eV per formula unit) = 0.00
- uncorrected energy (Ry per atom) = -0.209
- spin magnetization (μB per cell) = 0.0

***

(2)
Here is a relaxed Rb5CuCl8 crystal from the Alexandria database. Energies are from GGA-PBE.

Unit cell a=9.5619 b=9.5619 c=10.8552 alpha=90.00 beta=90.00 gamma=90.00
Space group I-4 (No. 82)
Symmetry-distinct sites (fractional):
Rb1 0.0000 0.0000 0.0000 (multiplicity 2)
Rb2 0.1375 0.2827 0.3903 (multiplicity 8)
Cu1 0.0000 0.5000 0.7500 (multiplicity 2)
Cl1 0.0457 0.2773 0.7212 (multiplicity 8)
Cl2 0.1135 0.3065 0.0896 (multiplicity 8)

Summary:
- formation energy (no corrections) (eV/atom) = -1.446
- uncorrected energy (Ry per atom) = -0.231
- spin magnetization (μB per cell) = 0.4

***

(3)
Here is a relaxed RbCuCl4 crystal from the Alexandria database. Energies are from GGA-PBE.

Unit cell a=9.6424 b=9.9286 c=3.8337 alpha=90.00 beta=90.00 gamma=90.00
Space group Cmmm (No. 65)
Symmetry-distinct sites (fractional):
Rb1 0.0000 0.0000 0.0000 (multiplicity 2)
Cu1 0.0000 0.5000 0.5000 (multiplicity 2)
Cl1 0.0000 0.3402 0.0000 (multiplicity 4)
Cl2 0.2355 0.5000 0.5000 (multiplicity 4)

Summary:
- formation energy (no corrections) (eV/atom) = -0.727
- uncorrected energy (Ry per atom) = -0.206
- spin magnetization (μB per cell) = 4.0

***

(4)
Here is a relaxed Rb3Cu2RhCl9 crystal from the Alexandria database. Energies are from GGA-PBE.

Unit cell a=7.0014 b=7.0014 c=8.5723 alpha=90.00 beta=90.00 gamma=120.00
Space group P-3m1 (No. 164)
Symmetry-distinct sites (fractional):
Rb1 0.0000 0.0000 0.0000 (multiplicity 1)
Rb2 0.3333 0.6667 0.6648 (multiplicity 2)
Cu1 0.3333 0.6667 0.1470 (multiplicity 2)
Rh1 0.0000 0.0000 0.5000 (multiplicity 1)
Cl1 0.0000 0.5000 0.0000 (multiplicity 3)
Cl2 0.1624 0.3248 0.3388 (multiplicity 6)

Summary:
- formation energy (no corrections) (eV/atom) = -1.099
- uncorrected energy (Ry per atom) = -0.253
- spin magnetization (μB per cell) = 0.8

***

(5)
Here is a relaxed RbCuRhCl6 crystal from the Alexandria database. Energies are from GGA-PBE.

Unit cell a=6.3068 b=6.3068 c=7.4246 alpha=90.00 beta=90.00 gamma=120.00
Space group P312 (No. 149)
Symmetry-distinct sites (fractional):
Rb1 0.0000 0.0000 0.0000 (multiplicity 1)
Cu1 0.3333 0.6667 0.5000 (multiplicity 1)
Rh1 0.6667 0.3333 0.5000 (multiplicity 1)
Cl1 0.3720 0.0123 0.6800 (multiplicity 6)

Summary:
- formation energy (no corrections) (eV/atom) = -0.860
- uncorrected energy (Ry per atom) = -0.255
- spin magnetization (μB per cell) = 1.1

***

(6)
Here is a relaxed Rb2CuRuCl6 crystal from the Alexandria database. Energies are from GGA-PBE.

Unit cell a=7.4335 b=7.4335 c=9.0939 alpha=90.00 beta=90.00 gamma=90.00
Space group I4/mmm (No. 139)
Symmetry-distinct sites (fractional):
Rb1 0.0000 0.5000 0.2500 (multiplicity 4)
Cu1 0.0000 0.0000 0.0000 (multiplicity 2)
Ru1 0.0000 0.0000 0.5000 (multiplicity 2)
Cl1 0.0000 0.0000 0.2387 (multiplicity 4)
Cl2 0.2288 0.2288 0.5000 (multiplicity 8)

Summary:
- formation energy (no corrections) (eV/atom) = -1.033
- uncorrected energy (Ry per atom) = -0.270
- spin magnetization (μB per cell) = 2.0

***

(7)
Here is a relaxed RbCu2RuCl8 crystal from the Alexandria database. Energies are from GGA-PBE.

Unit cell a=6.2319 b=6.2435 c=8.9054 alpha=71.44 beta=71.73 gamma=71.16
Space group P-1 (No. 2)
Symmetry-distinct sites (fractional):
Rb1 0.0000 0.0000 0.0000 (multiplicity 1)
Cu1 0.4399 0.4408 0.2173 (multiplicity 2)
Ru1 0.0000 0.0000 0.5000 (multiplicity 1)
Cl1 0.1819 0.7199 0.7034 (multiplicity 2)
Cl2 0.2434 0.2417 0.4618 (multiplicity 2)
Cl3 0.2796 0.8157 0.2995 (multiplicity 2)
Cl4 0.3467 0.3370 0.0197 (multiplicity 2)

Summary:
- formation energy (no corrections) (eV/atom) = -0.716
- uncorrected energy (Ry per atom) = -0.256
- spin magnetization (μB per cell) = 3.1

***

(8)
Here is a relaxed Rb2CuSCl6 crystal from the Alexandria database. Energies are from GGA-PBE.

Unit cell a=7.3516 b=7.3516 c=9.0939 alpha=90.00 beta=90.00 gamma=90.00
Space group I4/mmm (No. 139)
Symmetry-distinct sites (fractional):
Rb1 0.0000 0.5000 0.2500 (multiplicity 4)
Cu1 0.0000 0.0000 0.0000 (multiplicity 2)
S1 0.0000 0.0000 0.5000 (multiplicity 2)
Cl1 0.0000 0.0000 0.2547 (multiplicity 4)
Cl2 0.2346 0.2346 0.0000 (multiplicity 8)

Summary:
- formation energy (no corrections) (eV/atom) = -0.856
- uncorrected energy (Ry per atom) = -0.219
- spin magnetization (μB per cell) = 0.0

***

(9)
Here is a relaxed Rb2Cu2SbCl6 crystal from the Alexandria database. Energies are from GGA-PBE.

Unit cell a=13.8529 b=7.2400 c=7.1143 alpha=90.00 beta=111.51 gamma=90.00
Space group C2/m (No. 12)
Symmetry-distinct sites (fractional):
Rb1 0.2240 0.0000 0.2044 (multiplicity 4)
Cu1 0.0426 0.5000 0.2064 (multiplicity 4)
Sb1 0.0000 0.0000 0.5000 (multiplicity 2)
Cl1 0.0612 0.2536 0.7951 (multiplicity 8)
Cl2 0.2118 0.5000 0.2953 (multiplicity 4)

Summary:
- formation energy (no corrections) (eV/atom) = -1.012
- uncorrected energy (Ry per atom) = -0.244
- spin magnetization (μB per cell) = 1.9

***

(10)
Here is a relaxed Rb3Cu2SbCl9 crystal from the Alexandria database. Energies are from GGA-PBE.

Unit cell a=7.2029 b=7.2029 c=8.8926 alpha=90.00 beta=90.00 gamma=120.00
Space group P-3m1 (No. 164)
Symmetry-distinct sites (fractional):
Rb1 0.0000 0.0000 0.0000 (multiplicity 1)
Rb2 0.3333 0.6667 0.6853 (multiplicity 2)
Cu1 0.3333 0.6667 0.1402 (multiplicity 2)
Sb1 0.0000 0.0000 0.5000 (multiplicity 1)
Cl1 0.0000 0.5000 0.0000 (multiplicity 3)
Cl2 0.1719 0.3438 0.3265 (multiplicity 6)

Summary:
- formation energy (no corrections) (eV/atom) = -1.191
- uncorrected energy (Ry per atom) = -0.244
- spin magnetization (μB per cell) = 0.4

***

(11)
Here is a relaxed Rb3ScCu2Cl9 crystal from the Alexandria database. Energies are from GGA-PBE.

Unit cell a=7.1158 b=7.1158 c=8.7665 alpha=90.00 beta=90.00 gamma=120.00
Space group P-3m1 (No. 164)
Symmetry-distinct sites (fractional):
Rb1 0.0000 0.0000 0.0000 (multiplicity 1)
Rb2 0.3333 0.6667 0.6725 (multiplicity 2)
Sc1 0.0000 0.0000 0.5000 (multiplicity 1)
Cu1 0.3333 0.6667 0.1393 (multiplicity 2)
Cl1 0.0000 0.5000 0.0000 (multiplicity 3)
Cl2 0.1661 0.3323 0.3354 (multiplicity 6)

Summary:
- formation energy (no corrections) (eV/atom) = -1.520
- uncorrected energy (Ry per atom) = -0.279
- spin magnetization (μB per cell) = 1.1

***

(12)
Here is a relaxed RbSc2CuCl8 crystal from the Alexandria database. Energies are from GGA-PBE.

Unit cell a=6.5828 b=6.5828 c=28.1715 alpha=90.00 beta=90.00 gamma=120.00
Space group R-3 (No. 148, hexagonal axes)
Symmetry-distinct sites (fractional):
Rb1 0.0000 0.0000 0.0000 (multiplicity 3)
Sc1 0.0000 0.0000 0.2386 (multiplicity 6)
Cu1 0.0000 0.0000 0.5000 (multiplicity 3)
Cl1 0.0000 0.0000 0.3218 (multiplicity 6)
Cl2 0.0102 0.6896 0.5529 (multiplicity 18)

Summary:
- formation energy (no corrections) (eV/atom) = -1.708
- uncorrected energy (Ry per atom) = -0.325
- spin magnetization (μB per cell) = 0.4

***

(13)
Here is a relaxed RbScCuCl5 crystal from the Alexandria database. Energies are from GGA-PBE.

Unit cell a=8.6828 b=11.6563 c=9.6264 alpha=90.00 beta=112.84 gamma=90.00
Space group C2/c (No. 15)
Symmetry-distinct sites (fractional):
Rb1 0.0000 0.1582 0.2500 (multiplicity 4)
Sc1 0.0000 0.5000 0.0000 (multiplicity 4)
Cu1 0.0000 0.1902 0.7500 (multiplicity 4)
Cl1 0.0000 0.4362 0.2500 (multiplicity 4)
Cl2 0.0946 0.3018 0.5988 (multiplicity 8)
Cl3 0.2034 0.0682 0.9221 (multiplicity 8)

Summary:
- formation energy (no corrections) (eV/atom) = -1.661
- uncorrected energy (Ry per atom) = -0.312
- spin magnetization (μB per cell) = 0.6

***

(14)
Here is a relaxed RbScCuCl6 crystal from the Alexandria database. Energies are from GGA-PBE.

Unit cell a=6.3991 b=6.3999 c=7.3089 alpha=93.23 beta=93.19 gamma=114.07
Space group P1 (No. 1)
Symmetry-distinct sites (fractional):
Rb1 0.0000 0.0000 0.0000 (multiplicity 1)
Sc1 0.3517 0.6488 0.5000 (multiplicity 1)
Cu1 0.6980 0.3038 0.4996 (multiplicity 1)
Cl1 0.0352 0.3435 0.6609 (multiplicity 1)
Cl2 0.0556 0.6108 0.2659 (multiplicity 1)
Cl3 0.3887 0.9443 0.7342 (multiplicity 1)
Cl4 0.4324 0.3501 0.2997 (multiplicity 1)
Cl5 0.6503 0.5682 0.7001 (multiplicity 1)
Cl6 0.6567 0.9652 0.3390 (multiplicity 1)

Summary:
- formation energy (no corrections) (eV/atom) = -1.551
- uncorrected energy (Ry per atom) = -0.298
- spin magnetization (μB per cell) = 1.0

***

(15)
Here is a relaxed RbScCu2Cl8 crystal from the Alexandria database. Energies are from GGA-PBE.

Unit cell a=9.7864 b=7.2940 c=9.8705 alpha=90.00 beta=90.05 gamma=90.00
Space group C2/m (No. 12)
Symmetry-distinct sites (fractional):
Rb1 0.0000 0.0000 0.0000 (multiplicity 2)
Sc1 0.0000 0.0000 0.5000 (multiplicity 2)
Cu1 0.1401 0.5000 0.2932 (multiplicity 4)
Cl1 0.0088 0.2314 0.3111 (multiplicity 8)
Cl2 0.1698 0.5000 0.0753 (multiplicity 4)
Cl3 0.2440 0.5000 0.4950 (multiplicity 4)

Summary:
- formation energy (no corrections) (eV/atom) = -1.221
- uncorrected energy (Ry per atom) = -0.275
- spin magnetization (μB per cell) = 4.2

***

(16)
Here is a relaxed RbCu2SeCl2 crystal from the Alexandria database. Energies are from GGA-PBE.

Unit cell a=7.6355 b=5.4903 c=7.8787 alpha=90.00 beta=105.81 gamma=90.00
Space group P2_1/m (No. 11)
Symmetry-distinct sites (fractional):
Rb1 0.1757 0.2500 0.3375 (multiplicity 2)
Cu1 0.3769 0.9996 0.8488 (multiplicity 4)
Se1 0.3521 0.7500 0.0946 (multiplicity 2)
Cl1 0.1088 0.2500 0.7574 (multiplicity 2)
Cl2 0.3633 0.7500 0.5967 (multiplicity 2)

Summary:
- formation energy (no corrections) (eV/atom) = -0.815
- uncorrected energy (Ry per atom) = -0.260
- spin magnetization (μB per cell) = 1.8

***

(17)
Here is a relaxed RbCuSeCl6 crystal from the Alexandria database. Energies are from GGA-PBE.

Unit cell a=6.4242 b=12.3549 c=7.0297 alpha=90.00 beta=95.12 gamma=90.00
Space group C2 (No. 5)
Symmetry-distinct sites (fractional):
Rb1 0.0000 0.0000 0.0000 (multiplicity 2)
Cu1 0.0000 0.3997 0.5000 (multiplicity 2)
Se1 0.0000 0.6954 0.5000 (multiplicity 2)
Cl1 0.1692 0.5421 0.3391 (multiplicity 4)
Cl2 0.2198 0.8266 0.3314 (multiplicity 4)
Cl3 0.2426 0.2086 0.2336 (multiplicity 4)

Summary:
- formation energy (no corrections) (eV/atom) = -0.713
- uncorrected energy (Ry per atom) = -0.213
- spin magnetization (μB per cell) = 0.2

***

(18)
Here is a relaxed Rb2CuSiCl6 crystal from the Alexandria database. Energies are from GGA-PBE.

Unit cell a=7.3691 b=7.3691 c=9.0939 alpha=90.00 beta=90.00 gamma=90.00
Space group I4/mmm (No. 139)
Symmetry-distinct sites (fractional):
Rb1 0.0000 0.5000 0.2500 (multiplicity 4)
Cu1 0.0000 0.0000 0.0000 (multiplicity 2)
Si1 0.0000 0.0000 0.5000 (multiplicity 2)
Cl1 0.0000 0.0000 0.2424 (multiplicity 4)
Cl2 0.2325 0.2325 0.5000 (multiplicity 8)

Summary:
- formation energy (no corrections) (eV/atom) = -1.166
- uncorrected energy (Ry per atom) = -0.251
- spin magnetization (μB per cell) = 0.0

***

(19)
Here is a relaxed RbCu2SiCl crystal from the Alexandria database. Energies are from GGA-PBE.

Unit cell a=4.6894 b=4.6894 c=5.8482 alpha=90.00 beta=90.00 gamma=90.00
Space group P4/mmm (No. 123)
Symmetry-distinct sites (fractional):
Rb1 0.0000 0.0000 0.0000 (multiplicity 1)
Cu1 0.0000 0.5000 0.5000 (multiplicity 2)
Si1 0.5000 0.5000 0.0000 (multiplicity 1)
Cl1 0.0000 0.0000 0.5000 (multiplicity 1)

Summary:
- formation energy (no corrections) (eV/atom) = 0.751
- uncorrected energy (Ry per atom) = -0.186
- spin magnetization (μB per cell) = 0.0

***

(20)
Here is a relaxed Rb3SmCu2Cl9 crystal from the Alexandria database. Energies are from GGA-PBE.

Unit cell a=7.2514 b=7.2514 c=9.0069 alpha=90.00 beta=90.00 gamma=120.00
Space group P-3m1 (No. 164)
Symmetry-distinct sites (fractional):
Rb1 0.0000 0.0000 0.0000 (multiplicity 1)
Rb2 0.3333 0.6667 0.6885 (multiplicity 2)
Sm1 0.0000 0.0000 0.5000 (multiplicity 1)
Cu1 0.3333 0.6667 0.1362 (multiplicity 2)
Cl1 0.0000 0.5000 0.0000 (multiplicity 3)
Cl2 0.1730 0.3459 0.3248 (multiplicity 6)

Summary:
- formation energy (no corrections) (eV/atom) = -1.550
- uncorrected energy (Ry per atom) = -0.273
- spin magnetization (μB per cell) = 1.1